Record 1
Er3Ga4Ag2 | PBE | optimized geometry

Computed properties:
Theoretical density   8.9 g/cm³
Total DFT energy (no corrections)   -4.04 eV/atom

Structure (POSCAR):
```
Er3Ga4Ag2
1.0
5.286 -2.269 0.000
5.286 2.269 0.000
-3.552 0.000 7.743
Er Ga Ag
3 4 2
Cartesian
0.000 0.000 0.000
2.286 0.000 2.632
4.734 0.000 5.111
-0.954 0.000 2.867
-0.565 0.000 7.152
7.585 0.000 0.591
7.974 0.000 4.875
1.585 0.000 5.630
5.435 0.000 2.112
```


Record 2
Tm5InNi2 | PBE | optimized geometry

Computed properties:
Theoretical density   9.4 g/cm³
Total DFT energy (no corrections)   -4.97 eV/atom

Structure (POSCAR):
```
Tm5InNi2
1.0
-3.781 3.781 6.656
3.781 -3.781 6.656
3.781 3.781 -6.656
Tm In Ni
10 2 4
Cartesian
0.000 0.000 0.000
4.998 1.216 -1.784
1.216 2.565 -1.784
4.998 1.216 1.784
1.216 2.565 1.784
0.000 0.000 6.656
2.565 1.216 4.872
-1.216 2.565 4.872
2.565 1.216 8.440
-1.216 2.565 8.440
0.000 0.000 3.328
0.000 0.000 9.984
2.817 0.965 0.000
2.817 -0.965 6.656
0.965 4.746 0.000
0.965 2.817 6.656
```


Record 3
Fe2ReMo | PBE | optimized geometry

Computed properties:
Theoretical density   12.2 g/cm³
Total DFT energy (no corrections)   -9.92 eV/atom

Structure (POSCAR):
```
Fe2ReMo
1.0
3.791 0.000 0.000
0.000 3.791 0.000
0.000 0.000 7.458
Fe Re Mo
4 2 2
Cartesian
0.000 0.000 0.000
0.000 1.896 1.864
1.896 0.000 5.593
1.896 1.896 3.729
0.000 0.000 3.729
1.896 1.896 0.000
0.000 1.896 5.593
1.896 0.000 1.864
```


Record 4
KIr3 | PBE | optimized geometry

Computed properties:
Relative energy among the computed polymorphs   605 meV per atom
Theoretical density   10.2 g/cm³

Structure (POSCAR):
```
KIr3
1.0
7.125 0.000 0.000
-3.562 6.170 0.000
0.000 0.000 4.548
K Ir
2 6
Cartesian
0.000 4.113 1.137
3.562 2.057 3.411
0.000 1.443 3.411
-2.313 5.449 3.411
1.250 0.722 1.137
2.313 5.449 3.411
5.875 0.722 1.137
3.562 4.727 1.137
```


Record 5
KBaLiAg | PBE | optimized geometry

Computed properties:
Theoretical density   3.2 g/cm³
Total DFT energy (no corrections)   -1.89 eV/atom

Structure (POSCAR):
```
KBaLiAg
1.0
8.451 0.000 0.000
0.000 8.451 0.000
0.000 0.000 8.451
K Ba Li Ag
4 4 4 4
Cartesian
0.000 0.000 0.000
0.000 4.225 4.225
4.225 0.000 4.225
4.225 4.225 0.000
0.000 0.000 4.225
0.000 4.225 0.000
4.225 0.000 0.000
4.225 4.225 4.225
2.113 2.113 2.113
2.113 6.338 6.338
6.338 2.113 6.338
6.338 6.338 2.113
2.113 2.113 6.338
2.113 6.338 2.113
6.338 2.113 2.113
6.338 6.338 6.338
```


Record 6
BeNiW | PBE | optimized geometry

Computed properties:
Relative energy among the computed polymorphs   476 meV per atom
Theoretical density   10.5 g/cm³

Structure (POSCAR):
```
BeNiW
1.0
5.422 0.000 0.000
0.000 5.422 0.000
0.000 0.000 5.422
Be Ni W
4 4 4
Cartesian
0.000 0.000 0.000
0.000 2.711 2.711
2.711 0.000 2.711
2.711 2.711 0.000
1.355 1.355 1.355
1.355 4.066 4.066
4.066 1.355 4.066
4.066 4.066 1.355
0.000 0.000 2.711
0.000 2.711 0.000
2.711 0.000 0.000
2.711 2.711 2.711
```


- Which of these has the lowest theoretical density?
  KBaLiAg